The following is a DFT calculation (PBEsol) of a geometry-optimized YSbPS2 structure.

Properties
As for the density of states at the Fermi level: 4.8 states/eV/cell.

POSCAR file:
```
YSbPS2
1.0
5.0379 0.0000 0.0000
0.0000 5.0379 0.0000
0.0000 0.0000 5.2697
Sb Y S P
1 1 2 1
Direct
0.5000 0.5000 0.5000 Sb
0.0000 0.0000 0.0000 Y
0.0000 0.5000 0.0000 S
0.5000 0.0000 0.0000 S
0.0000 0.0000 0.5000 P
```

The following is a DFT calculation (PBEsol) of a geometry-optimized ZnSbPS2 structure.

Properties
As for the density of states at the Fermi level: 5.1 states/eV/cell.

POSCAR file:
```
ZnSbPS2
1.0
-2.2921 -4.1099 1.3912
3.9761 -2.6194 -1.1873
1.7956 0.5919 4.7073
Zn S P Sb
1 2 1 1
Direct
0.5000 0.5000 0.5000 Zn
0.5000 0.0000 0.0000 S
0.0000 0.5000 0.0000 S
0.0000 0.0000 0.5000 P
0.0000 0.0000 0.0000 Sb
```

The following is a DFT calculation (PBEsol) of a geometry-optimized ScP2SeS structure.

Properties
As for the density of states at the Fermi level: 2.5 states/eV/cell.

POSCAR file:
```
ScP2SeS
1.0
-3.8627 2.5472 0.8069
0.2374 -1.0654 4.4997
2.6233 3.7414 0.7475
P Sc Se S
2 1 1 1
Direct
0.0000 0.5000 0.0000 P
0.0000 0.0000 0.5000 P
0.5000 0.5000 0.5000 Sc
0.0000 0.0000 0.0000 Se
0.5000 0.0000 0.0000 S
```

The following is a DFT calculation (PBEsol) of a geometry-optimized ScSiPS2 structure.

Properties
As for the density of states at the Fermi level: 1.7 states/eV/cell.

POSCAR file:
```
ScSiPS2
1.0
4.4631 0.0000 0.0000
0.0000 4.4631 0.0000
0.0000 0.0000 4.4969
P S Sc Si
1 2 1 1
Direct
0.0000 0.0000 0.5000 P
0.5000 0.0000 0.0000 S
0.0000 0.5000 0.0000 S
0.5000 0.5000 0.5000 Sc
0.0000 0.0000 0.0000 Si
```

The following is a DFT calculation (PBEsol) of a geometry-optimized SiPSe2S structure.

Properties
As for the density of states at the Fermi level: 2.7 states/eV/cell.

POSCAR file:
```
SiPSe2S
1.0
-2.9193 -0.3609 -3.3472
1.3797 -4.5224 -0.7158
-3.3391 -1.5053 3.0745
Se S P Si
2 1 1 1
Direct
0.0000 0.0000 0.5000 Se
0.0000 0.5000 0.0000 Se
0.0000 0.0000 0.0000 S
0.5000 0.0000 0.0000 P
0.5000 0.5000 0.5000 Si
```

The following is a DFT calculation (PBEsol) of a geometry-optimized ZrSiPS2 structure.

Properties
As for the density of states at the Fermi level: 2.5 states/eV/cell.

POSCAR file:
```
ZrSiPS2
1.0
-0.3780 -4.3567 -0.4075
3.9529 -0.5154 1.8435
-1.9315 -0.2142 4.0816
Zr Si S P
1 1 2 1
Direct
0.5000 0.5000 0.5000 Zr
0.0000 0.0000 0.0000 Si
0.5000 0.0000 0.0000 S
0.0000 0.5000 0.0000 S
0.0000 0.0000 0.5000 P
```

The following is a DFT calculation (PBEsol) of a geometry-optimized SmPS structure.

Properties
As for the density of states at the Fermi level: 0.9 states/eV/cell.

POSCAR file:
```
SmPS
1.0
-2.0250 2.5589 -1.6816
-2.5761 -4.8960 -4.3482
-6.9290 -1.6011 5.9079
S P Sm
4 4 4
Direct
0.7500 0.9025 0.6549 S
0.7500 0.4025 0.8451 S
0.2500 0.5975 0.1549 S
0.2500 0.0975 0.3451 S
0.7500 0.9123 0.0381 P
0.7500 0.4123 0.4619 P
0.2500 0.0877 0.9619 P
0.2500 0.5877 0.5381 P
0.2500 0.7039 0.8415 Sm
0.2500 0.2039 0.6585 Sm
0.7500 0.2961 0.1585 Sm
0.7500 0.7961 0.3415 Sm
```

The following is a DFT calculation (PBEsol) of a geometry-optimized SnPS3 structure.

POSCAR file:
```
SnPS3
1.0
6.4765 0.0000 0.0518
0.0000 7.4101 0.0000
0.1370 0.0000 9.1136
S Sn P
12 4 4
Direct
0.4014 0.4455 0.6903 S
0.8585 0.2524 0.5147 S
0.1417 0.7507 0.4785 S
0.4234 0.4384 0.2875 S
0.3585 0.7476 0.0147 S
0.0800 0.0553 0.2135 S
0.9014 0.5545 0.1903 S
0.0936 0.0560 0.8064 S
0.9234 0.5616 0.7875 S
0.5800 0.9447 0.7135 S
0.6417 0.2493 0.9785 S
0.5936 0.9440 0.3064 S
0.2195 0.3793 0.9811 Sn
0.7195 0.6207 0.4811 Sn
0.7888 0.8722 0.9798 Sn
0.2888 0.1278 0.4798 Sn
0.6860 0.3565 0.1794 P
0.1860 0.6435 0.6794 P
0.3153 0.8619 0.8155 P
0.8153 0.1381 0.3155 P
```

The following is a DFT calculation (PBEsol) of a geometry-optimized SnPS3 structure.

POSCAR file:
```
SnPS3
1.0
6.2582 0.0000 0.0563
3.1291 6.0759 0.0282
2.1311 0.0000 6.5909
S P Sn
6 2 2
Direct
0.9074 0.7210 0.2667 S
0.6284 0.2790 0.2667 S
0.2382 0.0000 0.2452 S
0.0926 0.2790 0.7333 S
0.3716 0.7210 0.7333 S
0.7618 0.0000 0.7548 S
0.0555 0.0000 0.8301 P
0.9445 0.0000 0.1699 P
0.6648 0.6705 0.0000 Sn
0.3352 0.3295 0.0000 Sn
```

The following is a DFT calculation (PBEsol) of a geometry-optimized SnPS3 structure.

POSCAR file:
```
SnPS3
1.0
6.5078 0.0000 0.0000
3.2539 5.6359 0.0000
3.2539 1.8786 6.5220
S P Sn
6 2 2
Direct
0.6667 0.8365 0.2458 S
0.2510 0.6667 0.2458 S
0.7490 0.3333 0.7542 S
0.1635 0.7490 0.7542 S
0.8365 0.2510 0.2458 S
0.3333 0.1635 0.7542 S
0.5565 0.5565 0.3305 P
0.4435 0.4435 0.6695 P
0.8100 0.8100 0.5701 Sn
0.1900 0.1900 0.4299 Sn
```

The following is a DFT calculation (PBEsol) of a geometry-optimized SnPS2 structure.

Properties
As for the density of states at the Fermi level: 1.7 states/eV/cell.

POSCAR file:
```
SnPS2
1.0
4.6216 0.0000 0.0000
2.3108 4.0024 0.0000
2.3108 1.3341 3.7735
P S Sn
1 2 1
Direct
0.0000 0.0000 0.0000 P
0.2500 0.2500 0.2500 S
0.7500 0.7500 0.7500 S
0.5000 0.5000 0.5000 Sn
```

The following is a DFT calculation (PBEsol) of a geometry-optimized TcSnPS2 structure.

Properties
As for the density of states at the Fermi level: 4.6 states/eV/cell.

POSCAR file:
```
TcSnPS2
1.0
4.5193 0.0000 0.0000
0.0000 4.6726 0.0000
0.0000 0.0000 4.6726
P Tc Sn S
1 1 1 2
Direct
0.5000 0.0000 0.0000 P
0.0000 0.0000 0.0000 Tc
0.5000 0.5000 0.5000 Sn
0.0000 0.0000 0.5000 S
0.0000 0.5000 0.0000 S
```

The following is a DFT calculation (PBEsol) of a geometry-optimized TlSnPS4 structure.

POSCAR file:
```
TlSnPS4
1.0
6.5086 0.0000 0.0000
0.0000 8.6057 0.0000
0.0000 0.0000 11.8197
S Sn P Tl
16 4 4 4
Direct
0.5101 0.3120 0.0456 S
0.7646 0.1460 0.2611 S
0.2646 0.8540 0.7389 S
0.2614 0.3725 0.7539 S
0.7614 0.6275 0.2461 S
0.0101 0.6880 0.9544 S
0.7646 0.3540 0.7611 S
0.2646 0.6460 0.2389 S
0.0101 0.8120 0.4544 S
0.0429 0.0774 0.9351 S
0.2614 0.1275 0.2539 S
0.7614 0.8725 0.7461 S
0.5429 0.5774 0.5649 S
0.5101 0.1880 0.5456 S
0.5429 0.9226 0.0649 S
0.0429 0.4226 0.4351 S
0.9653 0.6118 0.6323 Sn
0.4653 0.3882 0.3677 Sn
0.9653 0.8882 0.1323 Sn
0.4653 0.1118 0.8677 Sn
0.5191 0.1273 0.1550 P
0.0191 0.8727 0.8450 P
0.5191 0.3727 0.6550 P
0.0191 0.6273 0.3450 P
0.5051 0.8687 0.3927 Tl
0.0051 0.3687 0.1073 Tl
0.5051 0.6313 0.8927 Tl
0.0051 0.1313 0.6073 Tl
```

The following is a DFT calculation (PBEsol) of a geometry-optimized SnPWS2 structure.

Properties
As for the density of states at the Fermi level: 2.9 states/eV/cell.

POSCAR file:
```
SnPWS2
1.0
-0.2400 -2.7003 3.9411
1.9201 -3.6679 -2.3962
4.4599 1.4902 1.2927
S Sn W P
2 1 1 1
Direct
0.5000 0.0000 0.0000 S
0.0000 0.5000 0.0000 S
0.0000 0.0000 0.0000 Sn
0.5000 0.5000 0.5000 W
0.0000 0.0000 0.5000 P
```

The following is a DFT calculation (PBEsol) of a geometry-optimized ZrSnP2S structure.

Properties
As for the density of states at the Fermi level: 3.9 states/eV/cell.

POSCAR file:
```
ZrSnP2S
1.0
-0.2986 -1.3311 4.6638
4.8673 0.9506 0.5830
-1.0720 4.7073 1.2749
Sn P Zr S
1 2 1 1
Direct
0.5000 0.5000 0.5000 Sn
0.0000 0.0000 0.5000 P
0.0000 0.5000 0.0000 P
0.0000 0.0000 0.0000 Zr
0.5000 0.0000 0.0000 S
```

The following is a DFT calculation (PBEsol) of a geometry-optimized SrTiP2S structure.

Properties
As for the density of states at the Fermi level: 3.0 states/eV/cell.

POSCAR file:
```
SrTiP2S
1.0
-2.1635 4.1330 -0.2661
-3.7028 -2.0647 -1.9646
-1.9247 -0.7249 4.3894
S P Sr Ti
1 2 1 1
Direct
0.0000 0.0000 0.5000 S
0.0000 0.5000 0.0000 P
0.5000 0.0000 0.0000 P
0.5000 0.5000 0.5000 Sr
0.0000 0.0000 0.0000 Ti
```

The following is a DFT calculation (PBEsol) of a geometry-optimized TaTlPS2 structure.

Properties
As for the density of states at the Fermi level: 3.3 states/eV/cell.

POSCAR file:
```
TaTlPS2
1.0
4.7647 0.0000 0.0000
0.0000 4.7647 0.0000
0.0000 0.0000 4.9091
Tl Ta S P
1 1 2 1
Direct
0.5000 0.5000 0.5000 Tl
0.0000 0.0000 0.0000 Ta
0.5000 0.0000 0.0000 S
0.0000 0.5000 0.0000 S
0.0000 0.0000 0.5000 P
```

The following is a DFT calculation (PBEsol) of a geometry-optimized TbPS structure.

Properties
As for the density of states at the Fermi level: 0.7 states/eV/cell.

POSCAR file:
```
TbPS
1.0
3.6230 0.0000 0.0000
0.0000 6.9136 0.0000
0.0000 0.0000 9.1038
Tb P S
4 4 4
Direct
0.2500 0.2063 0.6594 Tb
0.7500 0.7937 0.3406 Tb
0.7500 0.2937 0.1594 Tb
0.2500 0.7063 0.8406 Tb
0.2500 0.5905 0.5384 P
0.7500 0.9095 0.0384 P
0.2500 0.0905 0.9616 P
0.7500 0.4095 0.4616 P
0.2500 0.0945 0.3457 S
0.7500 0.9055 0.6543 S
0.7500 0.4055 0.8457 S
0.2500 0.5945 0.1543 S
```

The following is a DFT calculation (PBEsol) of a geometry-optimized TcTeP2S structure.

Properties
As for the density of states at the Fermi level: 2.7 states/eV/cell.

POSCAR file:
```
TcTeP2S
1.0
4.3784 0.0000 0.0000
0.0000 4.7043 0.0000
0.0000 0.0000 4.7043
P S Te Tc
2 1 1 1
Direct
0.0000 0.5000 0.0000 P
0.0000 0.0000 0.5000 P
0.5000 0.0000 0.0000 S
0.5000 0.5000 0.5000 Te
0.0000 0.0000 0.0000 Tc
```

The following is a DFT calculation (PBEsol) of a geometry-optimized TiTcPS2 structure.

Properties
As for the density of states at the Fermi level: 6.2 states/eV/cell.

POSCAR file:
```
TiTcPS2
1.0
4.5318 0.0000 0.0000
0.0000 4.5532 0.0000
0.0000 0.0000 4.5532
Tc S P Ti
1 2 1 1
Direct
0.0000 0.0000 0.0000 Tc
0.0000 0.5000 0.0000 S
0.0000 0.0000 0.5000 S
0.5000 0.0000 0.0000 P
0.5000 0.5000 0.5000 Ti
```

The following is a DFT calculation (PBEsol) of a geometry-optimized ZrTcP2S structure.

Properties
As for the density of states at the Fermi level: 4.5 states/eV/cell.

POSCAR file:
```
ZrTcP2S
1.0
-2.6648 -3.4196 0.8568
-0.3405 -0.8194 -4.3291
3.8069 -2.9040 0.2502
Tc S Zr P
1 1 1 2
Direct
0.0000 0.0000 0.0000 Tc
0.0000 0.0000 0.5000 S
0.5000 0.5000 0.5000 Zr
0.0000 0.5000 0.0000 P
0.5000 0.0000 0.0000 P
```

The following is a DFT calculation (PBEsol) of a geometry-optimized TePS2 structure.

Properties
As for the density of states at the Fermi level: 6.0 states/eV/cell.

POSCAR file:
```
TePS2
1.0
-1.1587 -2.7029 -5.2543
-1.6239 -3.4849 4.6341
-5.8960 -1.0340 -0.6512
Te S P
2 4 2
Direct
0.5000 0.2500 0.2500 Te
0.0000 0.0000 0.0000 Te
0.9546 0.8296 0.6250 S
0.5454 0.1250 0.8296 S
0.4546 0.6250 0.4204 S
0.0454 0.4204 0.1250 S
0.5000 0.7500 0.7500 P
0.0000 0.5000 0.5000 P
```

The following is a DFT calculation (PBEsol) of a geometry-optimized Te3PS structure.

Properties
As for the density of states at the Fermi level: 4.8 states/eV/cell.

POSCAR file:
```
Te3PS
1.0
-3.2094 -0.0699 -3.9712
-0.3088 -5.0858 0.3391
-3.9598 0.4533 3.1922
P S Te
1 1 3
Direct
0.0000 0.0000 0.0000 P
0.5000 0.5000 0.5000 S
0.0000 0.0000 0.5000 Te
0.5000 0.0000 0.0000 Te
0.0000 0.5000 0.0000 Te
```

The following is a DFT calculation (PBEsol) of a geometry-optimized TePWS2 structure.

Properties
As for the density of states at the Fermi level: 4.9 states/eV/cell.

POSCAR file:
```
TePWS2
1.0
-3.9449 1.4082 1.7546
-0.1080 -3.6562 2.6916
2.4533 2.5069 3.5037
P S W Te
1 2 1 1
Direct
0.0000 0.0000 0.5000 P
0.5000 0.0000 0.0000 S
0.0000 0.5000 0.0000 S
0.0000 0.0000 0.0000 W
0.5000 0.5000 0.5000 Te
```

The following is a DFT calculation (PBEsol) of a geometry-optimized TeP2WS structure.

Properties
As for the density of states at the Fermi level: 3.2 states/eV/cell.

POSCAR file:
```
TeP2WS
1.0
4.7915 0.0000 0.0000
0.0000 4.8833 0.0000
0.0000 0.0000 4.8833
P W S Te
2 1 1 1
Direct
0.0000 0.5000 0.0000 P
0.0000 0.0000 0.5000 P
0.5000 0.5000 0.5000 W
0.5000 0.0000 0.0000 S
0.0000 0.0000 0.0000 Te
```

E_form (uncorrected) for the records above, in order: 0.06 0.80 0.31 -0.31 0.79 -0.13 -1.58 -0.37 -0.31 -0.32 0.29 0.18 -0.40 1.56 -0.02 -0.84 -0.31 -1.60 0.33 0.34 0.22 0.38 0.75 0.25 1.94 eV/atom
DFT total energy for the records above, in order: -5.13 -3.34 -4.97 -5.69 -3.94 -6.01 -6.67 -5.01 -4.95 -4.96 -4.41 -5.84 -4.72 -4.97 -5.88 -6.06 -6.26 -6.66 -5.82 -6.49 -7.05 -4.14 -3.40 -6.13 -4.72 eV per atom